SrPHPt6 | GGA-PBE | relaxed

Summary:
For the uncorrected energy, the calculation gives -5.5061 eV per atom. Its space-group type is Imma, No. 74. As for the crystal system: orthorhombic.

Cell and atoms, written as extended XYZ:
```
18
Lattice="7.770 0.000 0.000 0.000 7.403 0.000 -3.885 -3.702 5.534" Properties=species:S:1:pos:R:3 pbc="T T T"
Sr 3.885 1.851 4.628
Sr 0.000 1.851 0.906
P 3.885 3.702 0.000
P 3.885 0.000 0.000
H 1.943 -1.851 2.767
H -1.943 -1.851 2.767
Pt 0.000 1.851 4.155
Pt 3.885 -1.851 3.259
Pt 5.616 -0.358 1.417
Pt 2.155 4.060 1.417
Pt 2.155 -0.358 1.417
Pt 5.616 4.060 1.417
Pt 3.885 1.851 1.379
Pt 0.000 5.553 2.276
Pt -1.731 4.060 4.118
Pt 1.731 -0.358 4.118
Pt 1.731 4.060 4.118
Pt -1.731 -0.358 4.118
```

---

Tb2PHPt6 | GGA-PBE | relaxed

Summary:
For the uncorrected energy, the calculation gives -6.2824 eV per atom. Its space-group type is Pmmn, No. 59. As for the crystal system: orthorhombic.

Cell and atoms, written as extended XYZ:
```
20
Lattice="-0.488 -5.662 -0.641 5.435 -0.941 4.171 -5.151 -0.308 6.642" Properties=species:S:1:pos:R:3 pbc="T T T"
Tb 2.838 -3.629 4.381
Tb -2.494 -0.433 5.720
Tb -0.042 -3.802 8.094
Tb -0.223 -0.297 2.791
P -1.851 -3.153 3.744
P 4.466 -0.774 3.428
H 0.963 -0.767 6.037
H 1.653 -3.159 1.135
Pt 0.204 -3.209 2.674
Pt -2.370 -3.363 5.993
Pt 2.411 -0.718 4.498
Pt -0.166 -0.872 7.821
Pt 2.327 -2.379 7.020
Pt 2.073 -5.329 6.686
Pt 0.063 -2.105 5.276
Pt -0.172 -4.823 4.968
Pt 2.299 -4.765 1.562
Pt 2.553 -1.822 1.895
Pt 0.288 -1.547 0.152
Pt 0.054 -4.258 -0.156
```

---

ThPHPt6 | GGA-PBE | relaxed

Summary:
For the uncorrected energy, the calculation gives -6.3258 eV per atom. Its space-group type is Imma, No. 74. As for the crystal system: orthorhombic.

Cell and atoms, written as extended XYZ:
```
18
Lattice="-2.493 -0.328 -6.761 6.495 -4.013 -2.200 -4.532 -2.564 5.644" Properties=species:S:1:pos:R:3 pbc="T T T"
Th -1.868 -5.367 -2.899
Th 1.338 -1.538 -0.419
P 2.001 -2.170 -4.480
P -1.247 -0.164 -3.380
H -3.513 -1.446 -0.558
H -2.266 -1.282 2.822
Pt -0.345 -4.686 0.355
Pt -4.329 -1.890 -2.160
Pt -2.671 -1.377 -4.706
Pt 2.116 -3.407 -2.553
Pt -1.434 -1.214 -1.351
Pt 0.879 -3.570 -5.908
Pt -0.185 -2.220 -3.672
Pt 3.799 -5.015 -1.157
Pt 2.140 -5.528 1.388
Pt -2.646 -3.498 -0.764
Pt 0.903 -5.691 -1.966
Pt -1.409 -3.336 2.591
```

---

UPHPt | GGA-PBE | relaxed

Summary:
For the uncorrected energy, the calculation gives -7.1831 eV per atom. Its space-group type is P-6m2, No. 187. As for the crystal system: hexagonal.

Cell and atoms, written as extended XYZ:
```
4
Lattice="-0.959 0.586 4.022 1.776 -3.576 -1.223 3.520 1.537 0.615" Properties=species:S:1:pos:R:3 pbc="T T T"
U 0.797 0.297 2.315
P 3.422 -1.123 3.148
H 1.708 -1.091 0.566
Pt 3.468 -0.322 0.874
```

---

YPH2Pt | GGA-PBE | relaxed

Summary:
For the uncorrected energy, the calculation gives -5.4885 eV per atom. Its space-group type is P4/mmm, No. 123. As for the crystal system: tetragonal.

Cell and atoms, written as extended XYZ:
```
5
Lattice="3.794 0.000 0.000 0.000 4.858 0.000 0.000 0.000 3.794" Properties=species:S:1:pos:R:3 pbc="T T T"
Y 1.897 2.429 1.897
P 0.000 2.429 0.000
Pt 0.000 0.000 0.000
H 0.000 0.000 1.897
H 1.897 0.000 0.000
```

---

ZrP2HPt | GGA-PBE | relaxed

Summary:
For the uncorrected energy, the calculation gives -4.8487 eV per atom. Its space-group type is P4/mmm, No. 123. As for the crystal system: tetragonal.

Cell and atoms, written as extended XYZ:
```
5
Lattice="-3.151 -2.316 -2.259 2.925 -4.493 0.526 -2.110 -0.919 3.886" Properties=species:S:1:pos:R:3 pbc="T T T"
P -1.055 -0.459 1.943
P -1.576 -1.158 -1.129
Zr 1.462 -2.246 0.263
Pt 0.000 0.000 0.000
H -1.168 -3.864 1.076
```

---

Pu2PH | GGA-PBE | relaxed

Summary:
For the uncorrected energy, the calculation gives -9.9062 eV per atom. Its space-group type is Cmmm, No. 65. As for the crystal system: orthorhombic.

Cell and atoms, written as extended XYZ:
```
8
Lattice="3.789 0.000 0.000 0.000 6.357 -1.164 0.000 -0.306 6.456" Properties=species:S:1:pos:R:3 pbc="T T T"
Pu 0.000 -0.153 3.228
Pu 0.000 0.000 0.000
Pu 0.000 3.179 -0.582
Pu 1.895 3.026 2.646
P 1.895 1.135 4.808
P 1.895 4.916 0.484
H 0.000 4.223 3.693
H 0.000 1.828 1.599
```

---

Pu2PH | GGA-PBE | relaxed

Summary:
For the uncorrected energy, the calculation gives -9.5421 eV per atom. Its space-group type is Cmcm, No. 63. As for the crystal system: orthorhombic.

Cell and atoms, written as extended XYZ:
```
8
Lattice="3.452 0.000 0.000 -1.726 4.550 0.000 0.000 0.000 7.062" Properties=species:S:1:pos:R:3 pbc="T T T"
Pu 0.000 3.037 3.786
Pu 1.726 1.513 3.276
Pu 1.726 1.513 0.255
Pu 0.000 3.037 6.807
P 1.726 4.241 1.766
P 0.000 0.310 5.297
H 0.000 2.092 1.766
H 1.726 2.458 5.297
```

---

Pu4P3H4 | GGA-PBE | relaxed

Summary:
For the uncorrected energy, the calculation gives -8.5766 eV per atom. Its space-group type is I-43m, No. 217. As for the crystal system: cubic.

Cell and atoms, written as extended XYZ:
```
11
Lattice="-5.758 1.342 -0.393 0.809 -3.989 4.306 3.090 4.901 1.242" Properties=species:S:1:pos:R:3 pbc="T T T"
Pu 0.489 -2.410 2.601
Pu -3.478 0.811 -0.237
Pu 1.866 2.960 0.750
Pu -0.736 0.892 2.041
P -2.474 -1.324 1.957
P -1.334 3.121 0.425
P 1.950 0.456 2.774
H 0.184 -0.907 0.979
H 0.703 1.115 0.282
H -1.310 0.305 -0.089
H -1.436 1.741 3.982
```

---

Pu2PH2 | GGA-PBE | relaxed

Summary:
For the uncorrected energy, the calculation gives -8.7712 eV per atom. Its space-group type is C2/c, No. 15. As for the crystal system: monoclinic.

Cell and atoms, written as extended XYZ:
```
10
Lattice="5.466 -0.395 -1.513 -2.441 4.573 -2.333 0.027 0.563 6.014" Properties=species:S:1:pos:R:3 pbc="T T T"
Pu 4.251 0.746 -0.581
Pu 1.896 1.728 2.720
Pu 1.156 3.013 -0.552
Pu -1.199 3.994 2.749
P -1.690 3.756 -0.417
P 4.742 0.985 2.585
H 2.086 0.941 -1.083
H 0.286 2.689 1.511
H 0.965 3.800 3.252
H 2.765 2.052 0.657
```

---

Pu2PH | GGA-PBE | relaxed

Summary:
For the uncorrected energy, the calculation gives -9.9073 eV per atom. Its space-group type is Fm-3m, No. 225. As for the crystal system: cubic.

Cell and atoms, written as extended XYZ:
```
4
Lattice="-1.676 -1.293 -4.197 0.617 -4.404 -1.522 -3.665 -2.930 -0.265" Properties=species:S:1:pos:R:3 pbc="T T T"
P -2.362 -4.314 -2.992
H 0.000 0.000 0.000
Pu -1.181 -2.157 -1.496
Pu -3.543 -6.471 -4.487
```

---

Pu2P2H | GGA-PBE | relaxed

Summary:
For the uncorrected energy, the calculation gives -9.4520 eV per atom. Its space-group type is Pbcm, No. 57. As for the crystal system: orthorhombic.

Cell and atoms, written as extended XYZ:
```
20
Lattice="6.915 0.000 0.014 0.000 6.690 0.000 -0.015 0.000 7.698" Properties=species:S:1:pos:R:3 pbc="T T T"
Pu 5.184 6.176 1.008
Pu 1.727 3.859 1.002
Pu 5.173 2.831 6.709
Pu 1.715 0.514 6.703
Pu 5.180 2.756 2.941
Pu 1.723 0.589 2.935
Pu 5.177 6.101 4.776
Pu 1.719 3.934 4.770
P 3.456 1.672 0.915
P -0.002 1.672 0.908
P 6.901 5.017 6.803
P 3.444 5.017 6.796
P -0.006 5.017 2.824
P 3.452 5.017 2.831
P 3.448 1.672 4.880
P 6.905 1.673 4.887
H 1.724 2.779 2.903
H 5.176 3.911 4.808
H 5.181 0.566 2.910
H 1.718 6.124 4.801
```

---

> Which of these has the lowest uncorrected energy?

number 11